Below is Tl3Cd3Ga8 after structural relaxation, with properties calculated at the PBE level.

Cell: 9.0329 9.0329 9.0329 Å, 152.01 109.55 77.43°
Last column: nearest neighbours and their distance in Å.
Element x y z (fractional)
Tl 0.0000 0.0000 0.0000  12 Ga 3.46-3.57, 4 Cd 3.75
Tl 0.3094 0.3094 0.0000  10 Ga 3.25-3.62, 4 Cd 3.45-3.46
Tl 0.6906 0.6906 0.0000  10 Ga 3.25-3.62, 4 Cd 3.45-3.46
Cd 0.2919 0.5000 0.7919  6 Ga 2.91-3.06, 2 Cd 3.08
Cd 0.5000 0.0000 0.5000  4 Cd 3.08, 4 Ga 3.18
Cd 0.7081 0.5000 0.2081  6 Ga 2.91-3.06, 2 Cd 3.08
Ga 0.0396 0.6662 0.3734  4 Ga 2.64-2.76, 1 Cd 2.91
Ga 0.1229 0.8482 0.2747  3 Ga 2.68-2.76
Ga 0.2927 0.6662 0.6266  4 Ga 2.64-2.76, 1 Cd 2.91
Ga 0.4265 0.1518 0.2747  3 Ga 2.68-2.76
Ga 0.5735 0.8482 0.7253  3 Ga 2.68-2.76
Ga 0.7073 0.3338 0.3734  4 Ga 2.64-2.76, 1 Cd 2.91
Ga 0.8771 0.1518 0.7253  3 Ga 2.68-2.76
Ga 0.9604 0.3338 0.6266  4 Ga 2.64-2.76, 1 Cd 2.91

Output
space group = Immm
volume = 321 Å³/cell
total energy = -33.622 eV per cell
energy of formation = 0.031 eV/atom